An optimized crystal structure of RbYCrO2. Source: Alexandria via LeMat-Bulk, functional GGA+U.

Output
M_tot in μB per cell: 5.45
Density of states at the Fermi level in states/eV/f.u.: 3.30
Calculated density in Mg/m³: 3.77
Raw total energy in eV per formula unit: -22.14

Cell lengths 4.854, 4.854, 4.828 Å; angles 90.00, 90.00, 90.00 degrees
Space group P4/mmm (No. 123)
Inequivalent atoms, fractional coordinates:
Rb 0.000 0.000 0.000 x1
Y 0.500 0.500 0.500 x1
Cr 0.000 0.000 0.500 x1
O 0.000 0.500 0.000 x2